The following is a PBE calculation of AcEuGdPb after structural relaxation, from Alexandria.

Output
Total DFT energy (no corrections), eV/cell: -130.4
Magnetization, μB per formula unit: 16.133

Unit cell a=8.141 b=8.141 c=8.141 alpha=90.00 beta=90.00 gamma=90.00
Space group F-43m (No. 216)
Symmetry-distinct sites (fractional):
Ac 0.000 0.000 0.000 x4
Eu 0.250 0.250 0.250 x4
Gd 0.250 0.250 0.750 x4
Pb 0.000 0.000 0.500 x4